[1]
A plane-wave DFT calculation with PBE-GGA was carried out for MgTiO after structural relaxation.

The formation energy without anion corrections is -1431 meV per atom. As for the magnetization: 0.00 μB/f.u. The density comes out at 3.1 g/cm³. The value obtained for the energy above the most stable polymorph in this dataset is 142.5 meV/atom.

The space group is C2/m (No. 12) and the conventional cell measures 5.9565, 3.4296 and 9.5894 Å, with angles of 90.00, 101.68 and 90.00 degrees. The distinct sites, in fractional coordinates, are Mg at (0.2114, 0.0000, 0.1327), Ti at (0.1335, 0.5000, 0.3998) and O at (0.2096, 0.5000, 0.6314).

[2]
A plane-wave DFT calculation with PBE-GGA was carried out for Ac12La5Pm2 after structural relaxation.

As for the magnetization: 0.00 μB/f.u. The density comes out at 7.6 g/cm³. The value obtained for the energy above the most stable polymorph in this dataset is 69.7 meV/atom. For the calculated formation energy, the calculation gives 3.166 eV/f.u.

The space group is C2/m (No. 12) and the conventional cell measures 19.8142, 7.7063 and 11.0262 Å, with angles of 90.00, 106.88 and 90.00 degrees. The distinct sites, in fractional coordinates, are Ac at (0.0021, 0.0000, 0.1773), Ac at (0.0336, 0.5000, 0.7331), Ac at (0.1591, 0.2580, 0.3917), Ac at (0.1634, 0.2506, 0.0380), La at (0.0000, 0.5000, 0.0000), La at (0.1700, 0.0000, 0.7197), La at (0.2017, 0.5000, 0.7170) and Pm at (0.0000, 0.2024, 0.5000).

Question: Look up the magnetization of the second one.
Answer: 0.00 μB/f.u.

Please write out number 2 again, unchanged.
A plane-wave DFT calculation with PBE-GGA was carried out for Ac12La5Pm2 after structural relaxation.

As for the magnetization: 0.00 μB/f.u. The density comes out at 7.6 g/cm³. The value obtained for the energy above the most stable polymorph in this dataset is 69.7 meV/atom. For the calculated formation energy, the calculation gives 3.166 eV/f.u.

The space group is C2/m (No. 12) and the conventional cell measures 19.8142, 7.7063 and 11.0262 Å, with angles of 90.00, 106.88 and 90.00 degrees. The distinct sites, in fractional coordinates, are Ac at (0.0021, 0.0000, 0.1773), Ac at (0.0336, 0.5000, 0.7331), Ac at (0.1591, 0.2580, 0.3917), Ac at (0.1634, 0.2506, 0.0380), La at (0.0000, 0.5000, 0.0000), La at (0.1700, 0.0000, 0.7197), La at (0.2017, 0.5000, 0.7170) and Pm at (0.0000, 0.2024, 0.5000).

Question: What is the formula in the second record?
Answer: Ac12La5Pm2